Entry from Alexandria via LeMat-Bulk: a geometry-optimized Cr2PPt structure (GGA-PBE).

Calculated values
Calculated total energy (eV per atom): -7.797
Energy relative to the elements (kJ per mole of atoms): -11.9
Crystal system: tetragonal

Cell: 4.7160 4.7160 4.7160 Å, 133.39 133.39 68.04°
Site moments in Bohr magnetons follow the coordinates.
Element x y z (fractional)
Cr 0.0000 0.0000 0.0000  2.64
Cr 0.2500 0.7500 0.5000  -2.66
P 0.5000 0.5000 0.0000  -0.02
Pt 0.7500 0.2500 0.5000  -0.06


Entry from Alexandria via LeMat-Bulk: a geometry-optimized CrPPt2 structure (GGA-PBE).

Calculated values
Calculated total energy (eV per atom): -6.749
Energy relative to the elements (kJ per mole of atoms): 2.9
Crystal system: tetragonal

Cell: 2.7673 2.7673 7.5566 Å, 90.00 90.00 90.04°
Site moments in Bohr magnetons follow the coordinates.
Element x y z (fractional)
Cr 0.5000 0.5000 0.2500  0.79
P 0.5000 0.5000 0.7500  0.01
Pt 0.0000 0.0000 0.0135  0.00
Pt 0.0000 0.0000 0.4865  0.00


Entry from Alexandria via LeMat-Bulk: a geometry-optimized CrPPt2 structure (GGA-PBE).

Calculated values
Calculated total energy (eV per atom): -6.821
Energy relative to the elements (kJ per mole of atoms): -4.1
Crystal system: tetragonal

Cell: 4.8195 4.8195 4.8195 Å, 132.91 132.91 68.79°
Site moments in Bohr magnetons follow the coordinates.
Element x y z (fractional)
Cr 0.2500 0.7500 0.5000  2.96
P 0.7500 0.2500 0.5000  -0.07
Pt 0.0000 0.0000 0.0000  0.02
Pt 0.5000 0.5000 0.0000  0.02


Entry from Alexandria via LeMat-Bulk: a geometry-optimized CrP2Pt structure (GGA-PBE).

Calculated values
Calculated total energy (eV per atom): -6.624
Energy relative to the elements (kJ per mole of atoms): -0.2
E above lowest polymorph (meV/atom): 311.6
Crystal system: trigonal

Cell: 7.3206 7.3206 7.3206 Å, 24.31 24.31 24.31°
Site moments in Bohr magnetons follow the coordinates.
Element x y z (fractional)
Cr 0.7387 0.7387 0.7387  1.76
P 0.0032 0.0032 0.0032  -0.10
P 0.2490 0.2490 0.2490  -0.01
Pt 0.5091 0.5091 0.5091  0.09


Entry from Alexandria via LeMat-Bulk: a geometry-optimized CrP2Pt structure (GGA-PBE).

Calculated values
Calculated total energy (eV per atom): -6.899
Energy relative to the elements (kJ per mole of atoms): -26.9
E above lowest polymorph (meV/atom): 35.7
Crystal system: tetragonal

Cell: 3.3875 3.3875 4.9768 Å, 90.00 90.00 90.00°
Site moments in Bohr magnetons follow the coordinates.
Element x y z (fractional)
Cr 0.5000 0.5000 0.8074  2.30
P 0.0000 0.0000 0.9353  -0.12
P 0.5000 0.5000 0.3132  -0.08
Pt 0.0000 0.0000 0.4441  -0.07


Entry from Alexandria via LeMat-Bulk: a geometry-optimized CrP2Pt structure (GGA-PBE).

Calculated values
Calculated total energy (eV per atom): -6.744
Energy relative to the elements (kJ per mole of atoms): -11.8
E above lowest polymorph (meV/atom): 191.5
Crystal system: tetragonal

Cell: 5.3044 5.3044 6.4604 Å, 65.76 65.76 90.00°
Site moments in Bohr magnetons follow the coordinates.
Element x y z (fractional)
Cr 0.5000 0.5000 0.0000  1.65
Cr 0.2500 0.7500 0.5000  1.65
Pt 0.0000 0.0000 0.0000  -0.07
Pt 0.7500 0.2500 0.5000  -0.08
P 0.6140 0.1250 0.2500  -0.09
P 0.1360 0.6250 0.2500  -0.09
P 0.3750 0.3860 0.7500  -0.10
P 0.8750 0.8640 0.7500  -0.09


Entry from Alexandria via LeMat-Bulk: a geometry-optimized CrP2Pt structure (GGA-PBE).

Calculated values
Calculated total energy (eV per atom): -6.935
Energy relative to the elements (kJ per mole of atoms): -30.3
E above lowest polymorph (meV/atom): 0.0
Crystal system: monoclinic

Cell: 4.1639 4.1639 4.6943 Å, 77.17 77.17 44.97°
Element x y z (fractional)
Cr 0.7278 0.7278 0.8941
P 0.0185 0.0185 0.8751
P 0.2507 0.2507 0.2529
Pt 0.5030 0.5030 0.4780


Entry from Alexandria via LeMat-Bulk: a geometry-optimized CrPPt structure (GGA-PBE).

Calculated values
Calculated total energy (eV per atom): -7.365
Energy relative to the elements (kJ per mole of atoms): -32.8
Crystal system: cubic

Cell: 3.9862 3.9862 3.9862 Å, 60.00 60.00 60.00°
Site moments in Bohr magnetons follow the coordinates.
Element x y z (fractional)
Cr 0.5000 0.5000 0.5000  2.56
P 0.7500 0.7500 0.7500  -0.12
Pt 0.0000 0.0000 0.0000  -0.06